Entry from the Open Quantum Materials Database: an optimized crystal structure of FeNiAgB (GGA-PBE).

```
4
Lattice="-3.005 -2.245 1.469 -3.362 1.766 1.344 -3.435 -0.370 -2.071" Properties=species:S:1:pos:R:3 pbc="T T T"
Ag -2.451 -0.212 0.185
B 0.000 0.000 0.000
Fe -7.352 -0.637 0.556
Ni -4.902 -0.424 0.371
```

Calculated values
Its mass density is 8.4 g cm⁻³. For the total magnetic moment, the calculation gives 0.724 μB per atom. As for the space-group type: F-43m, No. 216. The value obtained for the raw total energy is -20.92 eV/cell.